An optimized crystal structure of K2Cr. Source: Alexandria, functional PBE.

a = 8.3459 Å, b = 8.3459 Å, c = 8.3459 Å
α = 150.10°, β = 150.05°, γ = 42.84°
Closest atoms and distances in Å follow each position.
Sites, in units of the cell vectors:
K 0.3641 0.3641 0.0000  4 Cr 3.71
K 0.6359 0.6359 0.0000  4 Cr 3.71
Cr 0.0000 0.0000 0.0000  8 K 3.71

Calculated values
Total magnetic moment = 5.13 μB per cell
Crystal system = tetragonal
Symmetry = I4/mmm (139)
Mass density = 1.50 g cm⁻³
Energy above the most stable polymorph in this dataset = 70.7 meV per atom
Raw total energy = -9.30 eV for the cell shown

An optimized crystal structure of KCr2. Source: Alexandria, functional PBE.

a = 12.0900 Å, b = 12.0900 Å, c = 4.6987 Å
α = 83.98°, β = 83.98°, γ = 14.50°
Closest atoms and distances in Å follow each position.
Sites, in units of the cell vectors:
Cr 0.7871 0.7871 0.8157  4 Cr 2.33-2.40
Cr 0.2168 0.2168 0.6858  4 Cr 2.33-2.40
Cr 0.2129 0.2129 0.1843  4 Cr 2.33-2.40
Cr 0.7832 0.7832 0.3142  4 Cr 2.33-2.40
K 0.5881 0.5881 0.7038  2 K 3.05
K 0.4119 0.4119 0.2962  2 K 3.05

Calculated values
Total magnetic moment = 0.02 μB per cell
Crystal system = monoclinic
Symmetry = C2/m (12)
Mass density = 2.78 g cm⁻³
Energy above the most stable polymorph in this dataset = 127.4 meV per atom
Raw total energy = -35.57 eV for the cell shown

An optimized crystal structure of KCr2. Source: Alexandria, functional PBE.

a = 6.7936 Å, b = 6.7936 Å, c = 4.4546 Å
α = 90.00°, β = 90.00°, γ = 141.44°
Closest atoms and distances in Å follow each position.
Sites, in units of the cell vectors:
K 0.2477 0.2477 0.7500  4 K 3.15-3.18, 2 Cr 3.27
K 0.7523 0.7523 0.2500  4 K 3.15-3.18, 2 Cr 3.27
Cr 0.5755 0.0824 0.2500  4 Cr 2.24-2.34
Cr 0.9176 0.4245 0.7500  4 Cr 2.24-2.34
Cr 0.0824 0.5755 0.2500  4 Cr 2.24-2.34
Cr 0.4245 0.9176 0.7500  4 Cr 2.24-2.34

Calculated values
Total magnetic moment = 0.00 μB per cell
Crystal system = orthorhombic
Symmetry = Cmcm (63)
Mass density = 3.71 g cm⁻³
Energy above the most stable polymorph in this dataset = 334.1 meV per atom
Raw total energy = -34.33 eV for the cell shown

An optimized crystal structure of K2Cr. Source: Alexandria, functional PBE.

a = 6.2554 Å, b = 6.2554 Å, c = 3.7842 Å
α = 90.00°, β = 90.00°, γ = 120.00°
Closest atoms and distances in Å follow each position.
Sites, in units of the cell vectors:
Cr 0.0000 0.0000 0.0000  2 Cr 3.78, 6 K 3.85
K 0.3333 0.6667 0.6477  5 K 3.78, 3 Cr 3.85
K 0.6667 0.3333 0.3523  5 K 3.78, 3 Cr 3.85

Calculated values
Total magnetic moment = 5.01 μB per cell
Crystal system = trigonal
Symmetry = P-3m1 (164)
Mass density = 1.69 g cm⁻³
Energy above the most stable polymorph in this dataset = 99.9 meV per atom
Raw total energy = -9.21 eV for the cell shown

An optimized crystal structure of KCr. Source: Alexandria, functional PBE.

a = 3.7069 Å, b = 3.7069 Å, c = 12.1060 Å
α = 90.00°, β = 90.00°, γ = 120.00°
Closest atoms and distances in Å follow each position.
Sites, in units of the cell vectors:
K 0.0000 0.0000 0.4525  3 Cr 3.62, 6 K 3.71
K 0.6667 0.3333 0.7975  3 Cr 3.62, 6 K 3.71
Cr 0.0000 0.0000 0.0389  3 Cr 2.99
Cr 0.6667 0.3333 0.2111  3 Cr 2.99

Calculated values
Total magnetic moment = 9.61 μB per cell
Crystal system = trigonal
Symmetry = P-3m1 (164)
Mass density = 2.10 g cm⁻³
Energy above the most stable polymorph in this dataset = 583.7 meV per atom
Raw total energy = -16.41 eV for the cell shown

An optimized crystal structure of KCr2. Source: Alexandria, functional PBE.

a = 2.9859 Å, b = 2.9859 Å, c = 7.5769 Å
α = 90.00°, β = 90.00°, γ = 120.00°
Closest atoms and distances in Å follow each position.
Sites, in units of the cell vectors:
Cr 0.6667 0.3333 0.5926  3 Cr 2.22
Cr 0.3333 0.6667 0.4074  3 Cr 2.22
K 0.0000 0.0000 0.0000  6 K 2.99

Calculated values
Total magnetic moment = 0.00 μB per cell
Crystal system = trigonal
Symmetry = P-3m1 (164)
Mass density = 4.06 g cm⁻³
Energy above the most stable polymorph in this dataset = 387.4 meV per atom
Raw total energy = -17.01 eV for the cell shown

An optimized crystal structure of KCr. Source: Alexandria, functional PBE.

a = 3.9058 Å, b = 6.2269 Å, c = 17.4552 Å
α = 90.00°, β = 90.00°, γ = 90.00°
Closest atoms and distances in Å follow each position.
Sites, in units of the cell vectors:
Cr 0.0000 0.7548 0.0876  2 Cr 2.48
Cr 0.0000 0.7548 0.9124  2 Cr 2.48
Cr 0.0000 0.2419 0.5000  4 Cr 2.48
Cr 0.5000 0.7581 0.0000  4 Cr 2.48
Cr 0.5000 0.2452 0.5876  2 Cr 2.48
Cr 0.5000 0.2452 0.4124  2 Cr 2.48
K 0.5000 0.2499 0.8100  8 K 3.85-4.23, 5 Cr 3.88-4.11
K 0.0000 0.7501 0.6900  8 K 3.85-4.23, 5 Cr 3.88-4.11
K 0.5000 0.2499 0.1900  8 K 3.85-4.23, 5 Cr 3.88-4.11
K 0.0000 0.2566 0.0000  8 Cr 3.46-3.68, 4 K 3.85
K 0.5000 0.7434 0.5000  8 Cr 3.46-3.68, 4 K 3.85
K 0.0000 0.7501 0.3100  8 K 3.85-4.23, 5 Cr 3.88-4.11

Calculated values
Total magnetic moment = 9.67 μB per cell
Crystal system = orthorhombic
Symmetry = Pmmn (59)
Mass density = 2.14 g cm⁻³
Energy above the most stable polymorph in this dataset = 226.1 meV per atom
Raw total energy = -53.52 eV for the cell shown

An optimized crystal structure of KCr. Source: Alexandria, functional PBE.

a = 5.9746 Å, b = 5.9746 Å, c = 5.7322 Å
α = 90.00°, β = 90.00°, γ = 120.00°
Closest atoms and distances in Å follow each position.
Sites, in units of the cell vectors:
K 0.6667 0.3333 0.7500  6 Cr 3.74
K 0.3333 0.6667 0.2500  6 Cr 3.74
Cr 0.0000 0.0000 0.5000  2 Cr 2.87
Cr 0.0000 0.0000 0.0000  2 Cr 2.87

Calculated values
Total magnetic moment = 10.37 μB per cell
Crystal system = hexagonal
Symmetry = P6_3/mmc (194)
Mass density = 1.71 g cm⁻³
Energy above the most stable polymorph in this dataset = 514.5 meV per atom
Raw total energy = -16.69 eV for the cell shown

An optimized crystal structure of KCr. Source: Alexandria, functional PBE.

a = 7.1640 Å, b = 7.1640 Å, c = 6.9525 Å
α = 90.00°, β = 90.00°, γ = 90.00°
Closest atoms and distances in Å follow each position.
Sites, in units of the cell vectors:
K 0.1721 0.8279 0.0000  4 Cr 3.43-3.59, 1 K 3.49
K 0.8279 0.1721 0.0000  4 Cr 3.43-3.59, 1 K 3.49
K 0.6721 0.6721 0.5000  4 Cr 3.43-3.59, 1 K 3.49
K 0.3279 0.3279 0.5000  4 Cr 3.43-3.59, 1 K 3.49
Cr 0.4152 0.4152 0.0000  1 Cr 1.72
Cr 0.9152 0.0848 0.5000  1 Cr 1.72
Cr 0.5848 0.5848 0.0000  1 Cr 1.72
Cr 0.0848 0.9152 0.5000  1 Cr 1.72

Calculated values
Total magnetic moment = 0.00 μB per cell
Crystal system = tetragonal
Symmetry = P4_2/mnm (136)
Mass density = 1.70 g cm⁻³
Energy above the most stable polymorph in this dataset = 774.7 meV per atom
Raw total energy = -31.29 eV for the cell shown

An optimized crystal structure of K2Cr. Source: Alexandria, functional PBE.

a = 7.3349 Å, b = 7.3349 Å, c = 7.3349 Å
α = 100.45°, β = 100.45°, γ = 129.58°
Closest atoms and distances in Å follow each position.
Sites, in units of the cell vectors:
K 0.3347 0.1653 0.5000  4 Cr 3.84, 2 K 3.85
K 0.8347 0.3347 0.1693  4 Cr 3.84, 2 K 3.85
K 0.1653 0.6653 0.8307  4 Cr 3.84, 2 K 3.85
K 0.6653 0.8347 0.5000  4 Cr 3.84, 2 K 3.85
Cr 0.7500 0.7500 0.0000  2 Cr 3.12
Cr 0.2500 0.2500 0.0000  2 Cr 3.12

Calculated values
Total magnetic moment = 10.21 μB per cell
Crystal system = tetragonal
Symmetry = I4/mcm (140)
Mass density = 1.57 g cm⁻³
Energy above the most stable polymorph in this dataset = 0.0 meV per atom
Raw total energy = -19.03 eV for the cell shown

An optimized crystal structure of KCr. Source: Alexandria, functional PBE.

a = 15.9843 Å, b = 3.4080 Å, c = 7.8342 Å
α = 90.00°, β = 90.00°, γ = 90.00°
Closest atoms and distances in Å follow each position.
Sites, in units of the cell vectors:
K 0.0000 0.5073 0.0621  2 K 3.41, 4 Cr 3.65-3.67
K 0.2849 0.5026 0.2568  2 K 3.41, 5 Cr 3.65-3.79
K 0.5000 0.4927 0.5621  2 K 3.41, 4 Cr 3.65-3.67
K 0.7849 0.4974 0.7568  2 K 3.41, 5 Cr 3.65-3.79
K 0.2151 0.4974 0.7568  2 K 3.41, 5 Cr 3.65-3.79
K 0.7151 0.5026 0.2568  2 K 3.41, 5 Cr 3.65-3.79
Cr 0.0912 0.0010 0.4313  2 Cr 2.47
Cr 0.4088 0.9990 0.9313  2 Cr 2.47
Cr 0.5000 0.4992 0.0638  4 Cr 2.47
Cr 0.9088 0.0010 0.4313  2 Cr 2.47
Cr 0.0000 0.5008 0.5638  4 Cr 2.47
Cr 0.5912 0.9990 0.9313  2 Cr 2.47

Calculated values
Total magnetic moment = 9.71 μB per cell
Crystal system = orthorhombic
Symmetry = Pmn2_1 (31)
Mass density = 2.13 g cm⁻³
Energy above the most stable polymorph in this dataset = 203.6 meV per atom
Raw total energy = -53.79 eV for the cell shown

An optimized crystal structure of KCr2. Source: Alexandria, functional PBE.

a = 11.8246 Å, b = 11.8246 Å, c = 4.3936 Å
α = 90.00°, β = 90.00°, γ = 165.06°
Closest atoms and distances in Å follow each position.
Sites, in units of the cell vectors:
K 0.0852 0.9148 0.7500  2 K 3.07
K 0.9148 0.0852 0.2500  2 K 3.07
Cr 0.6903 0.3097 0.2500  4 Cr 2.36-2.42
Cr 0.2664 0.7336 0.2500  4 Cr 2.36-2.42
Cr 0.7336 0.2664 0.7500  4 Cr 2.36-2.42
Cr 0.3097 0.6903 0.7500  4 Cr 2.36-2.42

Calculated values
Total magnetic moment = 0.57 μB per cell
Crystal system = orthorhombic
Symmetry = Cmcm (63)
Mass density = 3.00 g cm⁻³
Energy above the most stable polymorph in this dataset = 69.8 meV per atom
Raw total energy = -35.92 eV for the cell shown